Here is a geometry-optimized ZnAgSbO4 structure from the Alexandria database. Energies are from PBE.

Computed properties:
V in A^3/atom: 17.24
Energy relative to the elements, uncorrected in eV per atom: -0.985

a = 5.270 Å, b = 5.270 Å, c = 8.688 Å
α = 90.00°, β = 90.00°, γ = 90.00°
Space group I-4 (No. 82)
Symmetry-distinct sites (fractional):
Zn 0.000 0.000 0.000 x2
Ag 0.000 0.500 0.250 x2
Sb 0.000 0.500 0.750 x2
O 0.176 0.748 0.871 x8


Here is a geometry-optimized ZnAg2SbO4 structure from the Alexandria database. Energies are from PBE.

Computed properties:
V in A^3/atom: 15.95
Energy relative to the elements, uncorrected in eV per atom: -0.793

a = 5.298 Å, b = 5.298 Å, c = 9.094 Å
α = 90.00°, β = 90.00°, γ = 90.00°
Space group I-4 (No. 82)
Symmetry-distinct sites (fractional):
Zn 0.000 0.000 0.000 x2
Ag 0.000 0.000 0.500 x2
Ag 0.000 0.500 0.750 x2
Sb 0.000 0.500 0.250 x2
O 0.180 0.253 0.126 x8


Here is a geometry-optimized Zn2AgSbO6 structure from the Alexandria database. Energies are from PBE.

Computed properties:
V in A^3/atom: 11.81
Energy relative to the elements, uncorrected in eV per atom: -0.944

a = 5.485 Å, b = 7.754 Å, c = 5.597 Å
α = 90.00°, β = 97.26°, γ = 90.00°
Space group P2_1/m (No. 11)
Symmetry-distinct sites (fractional):
Zn 0.015 0.250 0.061 x2
Zn 0.460 0.750 0.492 x2
Ag 0.000 0.000 0.500 x2
Sb 0.500 0.000 0.000 x2
O 0.111 0.750 0.601 x2
O 0.199 0.572 0.117 x4
O 0.347 0.062 0.661 x4
O 0.396 0.250 0.124 x2


Here is a geometry-optimized Sc2AgO structure from the Alexandria database. Energies are from PBE.

Computed properties:
V in A^3/atom: 23.25
Energy relative to the elements, uncorrected in eV per atom: -1.108

a = 3.8236 Å, b = 3.8236 Å, c = 22.0351 Å
α = 90.00°, β = 90.00°, γ = 120.00°
Space group R-3m (No. 166, hexagonal axes)
Symmetry-distinct sites (fractional):
Sc 0.0000 0.0000 0.0851 x6
Ag 0.0000 0.0000 0.5000 x3
O 0.0000 0.0000 0.0000 x3


Here is a geometry-optimized Sc2AgO structure from the Alexandria database. Energies are from PBE.

Computed properties:
V in A^3/atom: 18.73
Energy relative to the elements, uncorrected in eV per atom: -1.431

a = 6.215 Å, b = 6.215 Å, c = 7.758 Å
α = 90.00°, β = 90.00°, γ = 90.00°
Space group I-42d (No. 122)
Symmetry-distinct sites (fractional):
Sc 0.151 0.750 0.125 x8
Ag 0.000 0.000 0.500 x4
O 0.000 0.000 0.000 x4


Here is a geometry-optimized Sc2AgO2 structure from the Alexandria database. Energies are from PBE.

Computed properties:
V in A^3/atom: 15.33
Energy relative to the elements, uncorrected in eV per atom: -2.356

a = 3.712 Å, b = 3.712 Å, c = 11.129 Å
α = 90.00°, β = 90.00°, γ = 90.00°
Space group I4/mmm (No. 139)
Symmetry-distinct sites (fractional):
Sc 0.000 0.000 0.163 x4
Ag 0.000 0.000 0.500 x2
O 0.000 0.500 0.250 x4